Record 1
Here is ThOs4 after structural relaxation from the Alexandria database. Energies are from PBE.

a b c (Å): 4.8849 4.8849 4.8849
angles (deg): 90.00 90.00 90.00
With the nearest neighbours (Å) after each atom.
Sites, in units of the cell vectors:
Th 0.0000 0.0000 0.0000  6 Os 2.44
Os 0.0000 0.0000 0.5000  2 Th 2.44
Os 0.0000 0.5000 0.0000  2 Th 2.44
Os 0.5000 0.0000 0.0000  2 Th 2.44
Os 0.5000 0.5000 0.5000  12 Os 3.45

* energy of formation from the pure elements: 3334 meV per atom

Record 2
Here is Th3Os2 after structural relaxation from the Alexandria database. Energies are from PBE.

a b c (Å): 11.4073 4.0201 11.2852
angles (deg): 90.00 90.00 90.00
With the nearest neighbours (Å) after each atom.
Sites, in units of the cell vectors:
Th 0.0564 0.2500 0.1328  5 Os 2.93-3.04
Th 0.1203 0.7500 0.5636  5 Os 2.83-3.14
Th 0.2192 0.2500 0.8100  4 Os 2.90-3.09
Th 0.2808 0.7500 0.3100  4 Os 2.90-3.09
Th 0.3797 0.2500 0.0636  5 Os 2.83-3.14
Th 0.4436 0.7500 0.6328  5 Os 2.93-3.04
Th 0.5564 0.2500 0.3672  5 Os 2.93-3.04
Th 0.6203 0.7500 0.9364  5 Os 2.83-3.14
Th 0.7192 0.2500 0.6900  4 Os 2.90-3.09
Th 0.7808 0.7500 0.1900  4 Os 2.90-3.09
Th 0.8797 0.2500 0.4364  5 Os 2.83-3.14
Th 0.9436 0.7500 0.8672  5 Os 2.93-3.04
Os 0.0104 0.7500 0.3185  7 Th 2.83-3.09
Os 0.1804 0.7500 0.9915  7 Th 2.90-3.14
Os 0.3196 0.2500 0.4915  7 Th 2.90-3.14
Os 0.4896 0.2500 0.8185  7 Th 2.83-3.09
Os 0.5104 0.7500 0.1815  7 Th 2.83-3.09
Os 0.6804 0.7500 0.5085  7 Th 2.90-3.14
Os 0.8196 0.2500 0.0085  7 Th 2.90-3.14
Os 0.9896 0.2500 0.6815  7 Th 2.83-3.09

* energy of formation from the pure elements: -305 meV per atom

Record 3
Here is ThOs2 after structural relaxation from the Alexandria database. Energies are from PBE.

a b c (Å): 6.6682 6.6682 6.6682
angles (deg): 153.86 153.86 37.31
With the nearest neighbours (Å) after each atom.
Sites, in units of the cell vectors:
Th 0.0000 0.0000 0.0000  4 Th 3.02, 8 Os 3.21
Os 0.3100 0.3100 0.0000  4 Os 2.62
Os 0.6900 0.6900 0.0000  4 Os 2.62

* energy of formation from the pure elements: 204 meV per atom

Record 4
Here is ThTiOs after structural relaxation from the Alexandria database. Energies are from PBE.

a b c (Å): 7.1090 4.1782 12.9889
angles (deg): 90.00 90.89 90.00
With the nearest neighbours (Å) after each atom.
Sites, in units of the cell vectors:
Th 0.0040 0.2500 0.2936  5 Os 2.86-3.20, 2 Ti 3.19
Th 0.3576 0.7500 0.9189  3 Os 3.01-3.12, 4 Ti 3.23-3.30
Th 0.4927 0.7500 0.6292  5 Os 3.03-3.11, 2 Ti 3.27
Th 0.5073 0.2500 0.3708  5 Os 3.03-3.11, 2 Ti 3.27
Th 0.6424 0.2500 0.0811  3 Os 3.01-3.12, 4 Ti 3.23-3.30
Th 0.9960 0.7500 0.7064  5 Os 2.86-3.20, 2 Ti 3.19
Ti 0.0102 0.2500 0.9164  4 Os 2.60-2.82
Ti 0.1392 0.2500 0.5391  3 Os 2.56-2.62
Ti 0.3534 0.7500 0.1948  3 Os 2.61-2.70
Ti 0.6466 0.2500 0.8052  3 Os 2.61-2.70
Ti 0.8608 0.7500 0.4609  3 Os 2.56-2.62
Ti 0.9898 0.7500 0.0836  4 Os 2.60-2.82
Os 0.2059 0.2500 0.1045  5 Ti 2.60-2.79, 1 Th 2.86
Os 0.2259 0.7500 0.4366  3 Ti 2.56-2.62
Os 0.2750 0.2500 0.7573  3 Ti 2.70-2.98, 4 Th 2.95-3.01
Os 0.7250 0.7500 0.2427  3 Ti 2.70-2.98, 4 Th 2.95-3.01
Os 0.7741 0.2500 0.5634  3 Ti 2.56-2.62
Os 0.7941 0.7500 0.8955  5 Ti 2.60-2.79, 1 Th 2.86

* energy of formation from the pure elements: -349 meV per atom

Record 5
Here is ThTi2Os after structural relaxation from the Alexandria database. Energies are from PBE.

a b c (Å): 3.1727 3.1727 7.6948
angles (deg): 90.00 90.00 90.00
With the nearest neighbours (Å) after each atom.
Sites, in units of the cell vectors:
Th 0.0000 0.0000 0.0000  4 Th 3.17, 8 Ti 3.27
Ti 0.5000 0.5000 0.3092  4 Os 2.68, 1 Ti 2.94
Ti 0.5000 0.5000 0.6908  4 Os 2.68, 1 Ti 2.94
Os 0.0000 0.0000 0.5000  8 Ti 2.68

* energy of formation from the pure elements: -199 meV per atom

Record 6
Here is Th3TlOs after structural relaxation from the Alexandria database. Energies are from PBE.

a b c (Å): 7.1996 4.9256 16.3630
angles (deg): 90.00 90.00 90.00
With the nearest neighbours (Å) after each atom.
Sites, in units of the cell vectors:
Th 0.0044 0.2500 0.0930  3 Os 2.80-3.08
Th 0.1329 0.7500 0.4468  3 Os 2.88-3.07
Th 0.2401 0.2500 0.7185  1 Os 2.89
Th 0.2599 0.7500 0.2185  1 Os 2.89
Th 0.3671 0.2500 0.9468  3 Os 2.88-3.07
Th 0.4956 0.7500 0.5930  3 Os 2.80-3.08
Th 0.5044 0.2500 0.4070  3 Os 2.80-3.08
Th 0.6329 0.7500 0.0532  3 Os 2.88-3.07
Th 0.7401 0.2500 0.7815  1 Os 2.89
Th 0.7599 0.7500 0.2815  1 Os 2.89
Th 0.8671 0.2500 0.5532  3 Os 2.88-3.07
Th 0.9956 0.7500 0.9070  3 Os 2.80-3.08
Tl 0.0455 0.2500 0.3153  7 Th 3.26-3.63
Tl 0.4545 0.7500 0.8153  7 Th 3.26-3.63
Tl 0.5455 0.2500 0.1847  7 Th 3.26-3.63
Tl 0.9545 0.7500 0.6847  7 Th 3.26-3.63
Os 0.2334 0.7500 0.0422  7 Th 2.80-3.08
Os 0.2666 0.2500 0.5422  7 Th 2.80-3.08
Os 0.7334 0.7500 0.4578  7 Th 2.80-3.08
Os 0.7666 0.2500 0.9578  7 Th 2.80-3.08

* energy of formation from the pure elements: -182 meV per atom

Record 7
Here is Th3TlOs after structural relaxation from the Alexandria database. Energies are from PBE.

a b c (Å): 6.7005 6.7005 9.2270
angles (deg): 109.05 109.05 49.73
With the nearest neighbours (Å) after each atom.
Sites, in units of the cell vectors:
Th 0.1314 0.1314 0.2633  2 Os 2.83-2.88
Th 0.1364 0.1364 0.6480  1 Os 2.85
Th 0.3634 0.3634 0.0624  3 Os 2.84-2.91
Th 0.6366 0.6366 0.9376  3 Os 2.84-2.91
Th 0.8636 0.8636 0.3520  1 Os 2.85
Th 0.8686 0.8686 0.7367  2 Os 2.83-2.88
Tl 0.4005 0.4005 0.5687  1 Tl 3.11, 5 Th 3.31-3.47
Tl 0.5995 0.5995 0.4313  1 Tl 3.11, 5 Th 3.31-3.47
Os 0.1068 0.1068 0.9405  6 Th 2.83-2.91, 1 Os 3.16
Os 0.8932 0.8932 0.0595  6 Th 2.83-2.91, 1 Os 3.16

* energy of formation from the pure elements: -174 meV per atom

Record 8
Here is Th4Tl2Os after structural relaxation from the Alexandria database. Energies are from PBE.

a b c (Å): 6.8616 3.9374 8.6820
angles (deg): 90.00 102.71 90.00
With the nearest neighbours (Å) after each atom.
Sites, in units of the cell vectors:
Th 0.0826 0.0000 0.3366  1 Os 2.85
Th 0.2779 0.5000 0.0141  2 Os 2.72
Th 0.7221 0.5000 0.9859  2 Os 2.72
Th 0.9174 0.0000 0.6634  1 Os 2.85
Tl 0.3718 0.5000 0.6410  1 Tl 3.31, 4 Th 3.40-3.53
Tl 0.6282 0.5000 0.3590  1 Tl 3.31, 4 Th 3.40-3.53
Os 0.0000 0.0000 0.0000  6 Th 2.72-2.85

* energy of formation from the pure elements: 45 meV per atom

Record 9
Here is Th6Tl3Os after structural relaxation from the Alexandria database. Energies are from PBE.

a b c (Å): 6.0926 9.0636 12.5593
angles (deg): 90.00 116.97 90.00
With the nearest neighbours (Å) after each atom.
Sites, in units of the cell vectors:
Th 0.0384 0.1550 0.4399  1 Os 2.92, 1 Tl 3.25
Th 0.0384 0.3450 0.9399  1 Os 2.92, 1 Tl 3.25
Th 0.3626 0.6955 0.4366  1 Os 2.89, 1 Tl 3.20
Th 0.3626 0.8045 0.9366  1 Os 2.89, 1 Tl 3.20
Th 0.4037 0.0427 0.2678  1 Os 2.73
Th 0.4037 0.4573 0.7678  1 Os 2.73
Th 0.5963 0.5427 0.2322  1 Os 2.73
Th 0.5963 0.9573 0.7322  1 Os 2.73
Th 0.6374 0.1955 0.0634  1 Os 2.89, 1 Tl 3.20
Th 0.6374 0.3045 0.5634  1 Os 2.89, 1 Tl 3.20
Th 0.9616 0.6550 0.0601  1 Os 2.92, 1 Tl 3.25
Th 0.9616 0.8450 0.5601  1 Os 2.92, 1 Tl 3.25
Tl 0.0000 0.0000 0.0000  6 Th 3.16-3.25
Tl 0.0000 0.5000 0.5000  6 Th 3.16-3.25
Tl 0.1554 0.1235 0.7630  8 Th 3.25-3.64
Tl 0.1554 0.3765 0.2630  8 Th 3.25-3.64
Tl 0.8446 0.6235 0.7370  8 Th 3.25-3.64
Tl 0.8446 0.8765 0.2370  8 Th 3.25-3.64
Os 0.5000 0.0000 0.5000  6 Th 2.73-2.92
Os 0.5000 0.5000 0.0000  6 Th 2.73-2.92

* energy of formation from the pure elements: -60 meV per atom

Record 10
Here is Th8Tl2Os after structural relaxation from the Alexandria database. Energies are from PBE.

a b c (Å): 9.7606 9.7606 6.8404
angles (deg): 108.73 108.73 33.05
With the nearest neighbours (Å) after each atom.
Sites, in units of the cell vectors:
Th 0.0027 0.0027 0.2360  3 Th 3.20-3.31, 2 Os 3.20, 1 Tl 3.31
Th 0.2194 0.2194 0.1148  3 Tl 3.30-3.60, 5 Th 3.36-3.56
Th 0.3573 0.3573 0.6964  1 Os 2.78
Th 0.4098 0.4098 0.2593  1 Os 2.83
Th 0.5902 0.5902 0.7407  1 Os 2.83
Th 0.6427 0.6427 0.3036  1 Os 2.78
Th 0.7806 0.7806 0.8852  3 Tl 3.30-3.60, 5 Th 3.36-3.56
Th 0.9973 0.9973 0.7640  3 Th 3.20-3.31, 2 Os 3.20, 1 Tl 3.31
Tl 0.1711 0.1711 0.6052  9 Th 3.30-3.60
Tl 0.8289 0.8289 0.3948  9 Th 3.30-3.60
Os 0.5000 0.5000 0.0000  4 Th 2.78-2.83

* energy of formation from the pure elements: -5 meV per atom

Record 11
Here is Th8Tl2Os3 after structural relaxation from the Alexandria database. Energies are from PBE.

a b c (Å): 8.9344 8.9344 7.1102
angles (deg): 104.11 104.11 54.24
With the nearest neighbours (Å) after each atom.
Sites, in units of the cell vectors:
Th 0.1072 0.1072 0.9252  2 Os 2.78
Th 0.1472 0.6553 0.6042  2 Os 2.82
Th 0.3447 0.8528 0.3958  2 Os 2.82
Th 0.3978 0.3978 0.1063  3 Os 2.83-2.86
Th 0.6022 0.6022 0.8937  3 Os 2.83-2.86
Th 0.6553 0.1472 0.6042  2 Os 2.82
Th 0.8528 0.3447 0.3958  2 Os 2.82
Th 0.8928 0.8928 0.0748  2 Os 2.78
Tl 0.2500 0.2500 0.6657  6 Th 3.29-3.36
Tl 0.7500 0.7500 0.3343  6 Th 3.29-3.36
Os 0.2461 0.7539 0.0000  6 Th 2.78-2.86
Os 0.5000 0.5000 0.5000  6 Th 2.82-2.83
Os 0.7539 0.2461 0.0000  6 Th 2.78-2.86

* energy of formation from the pure elements: -44 meV per atom

Quick rundown of mass density, same order as above: 14.15 13.82 17.69 12.14 11.11 12.49 12.28 11.08 11.80 12.18 10.63 g cm⁻³